The following is a GGA-PBEsol calculation of a relaxed structure of LiBeSi, from Alexandria.

Unit cell a=4.2692 b=4.2692 c=4.2692 alpha=143.28 beta=130.19 gamma=63.46
Closest atoms and distances in Å follow each position.
Element x y z (fractional)
Li1 0.0000 0.0000 0.0000  5 Be 2.35-2.58, 5 Si 2.39-2.57
Be1 0.3237 0.3237 0.0000  5 Li 2.35-2.58, 5 Si 2.50-2.52
Si1 0.6712 0.6712 0.0000  5 Li 2.39-2.57, 5 Be 2.50-2.52

* magnetization: 0.00 μB per atom
* E_form (uncorrected): 0.0923 eV/atom



The following is a GGA-PBEsol calculation of a relaxed structure of Li2MgZn, from Alexandria.

Unit cell a=5.4536 b=5.4536 c=5.4536 alpha=146.21 beta=130.21 gamma=61.53
Closest atoms and distances in Å follow each position.
Element x y z (fractional)
Li1 0.2307 0.2307 0.0000  2 Zn 2.68, 4 Li 2.81, 2 Mg 2.98
Li2 0.7693 0.7693 0.0000  2 Zn 2.68, 4 Li 2.81, 2 Mg 2.98
Mg1 0.5000 0.0000 0.5000  4 Zn 2.79, 4 Li 2.98
Zn1 0.0000 0.5000 0.5000  4 Li 2.68, 4 Mg 2.79

* E_tot: -7.605 eV for the cell shown
* magnetization: 0.00 μB per atom



The following is a GGA-PBEsol calculation of a relaxed structure of InNiW, from Alexandria.

Unit cell a=4.1366 b=4.1366 c=4.1366 alpha=60.00 beta=60.00 gamma=60.00
Closest atoms and distances in Å follow each position.
Element x y z (fractional)
In1 0.0000 0.0000 0.0000  4 Ni 2.53
Ni1 0.7500 0.7500 0.7500  4 W 2.53, 4 In 2.53
W1 0.5000 0.5000 0.5000  4 Ni 2.53

* E_tot: -21.395 eV for the cell shown
* magnetization: 0.19 μB per atom



The following is a GGA-PBEsol calculation of a relaxed structure of Y2InW, from Alexandria.

Unit cell a=5.5927 b=5.5927 c=5.5927 alpha=135.88 beta=131.47 gamma=67.66
Closest atoms and distances in Å follow each position.
Element x y z (fractional)
Y1 0.0000 0.0000 0.0000  4 W 3.12, 4 In 3.17-3.23, 4 Y 3.18-3.22
Y2 0.7425 0.2425 0.5000  4 In 3.12, 4 Y 3.18-3.22, 4 W 3.20
In1 0.2556 0.7556 0.5000  2 W 2.98, 8 Y 3.12-3.23
W1 0.4825 0.4825 0.0000  2 In 2.98, 8 Y 3.12-3.20

* E_tot: -29.535 eV for the cell shown
* magnetization: 0.00 μB per atom



The following is a GGA-PBEsol calculation of a relaxed structure of CuReSi2, from Alexandria.

Unit cell a=4.2960 b=4.2960 c=4.5420 alpha=99.78 beta=99.78 gamma=39.75
Closest atoms and distances in Å follow each position.
Element x y z (fractional)
Cu1 0.0000 0.0000 0.0000  6 Si 2.48-2.66, 4 Re 2.70
Re1 0.5000 0.5000 0.5000  6 Si 2.50-2.51, 4 Cu 2.70
Si1 0.2411 0.2411 0.7301  3 Cu 2.48-2.66, 3 Re 2.50-2.51, 2 Si 2.57
Si2 0.7589 0.7589 0.2699  3 Cu 2.48-2.66, 3 Re 2.50-2.51, 2 Si 2.57

* magnetization: 0.00 μB per atom
* E_form (uncorrected): 0.0102 eV/atom



The following is a GGA-PBEsol calculation of a relaxed structure of Sr2Zn2Sb, from Alexandria.

Unit cell a=5.8430 b=5.8430 c=5.8430 alpha=117.11 beta=117.11 gamma=95.09
Closest atoms and distances in Å follow each position.
Element x y z (fractional)
Sr1 0.2500 0.7500 0.5000  4 Zn 3.15
Sr2 0.7500 0.2500 0.5000  4 Zn 3.15
Zn1 0.1477 0.1477 0.0000  1 Zn 2.33
Zn2 0.8523 0.8523 0.0000  1 Zn 2.33
Sb1 0.5000 0.5000 0.0000  2 Zn 2.78

* magnetization: 0.00 μB per atom
* E_form (uncorrected): -0.2117 eV/atom



- Which value of magnetization does entry 2 give?
  0.00 μB per atom



- Which value of magnetization does entry 6 give?
  0.00 μB per atom



What did the fifth record say?
The following is a GGA-PBEsol calculation of a relaxed structure of CuReSi2, from Alexandria.

Unit cell a=4.2960 b=4.2960 c=4.5420 alpha=99.78 beta=99.78 gamma=39.75
Closest atoms and distances in Å follow each position.
Element x y z (fractional)
Cu1 0.0000 0.0000 0.0000  6 Si 2.48-2.66, 4 Re 2.70
Re1 0.5000 0.5000 0.5000  6 Si 2.50-2.51, 4 Cu 2.70
Si1 0.2411 0.2411 0.7301  3 Cu 2.48-2.66, 3 Re 2.50-2.51, 2 Si 2.57
Si2 0.7589 0.7589 0.2699  3 Cu 2.48-2.66, 3 Re 2.50-2.51, 2 Si 2.57

* magnetization: 0.00 μB per atom
* E_form (uncorrected): 0.0102 eV/atom



- Which value of magnetization does entry 4 give?
  0.00 μB per atom